A plane-wave DFT calculation with PBE was carried out for crystalline KScCoCl6 at its relaxed geometry.

## Properties
- final energy (eV per atom) = -4.414
- spin magnetization (μB/f.u.) = 3.00

Cell: 6.462 6.454 7.035 Å, 90.25 90.12 60.04°
Element x y z (fractional)
K1 0.000 0.000 0.000
Sc1 0.333 0.334 0.500
Co1 0.666 0.667 0.500
Cl1 0.994 0.381 0.296
Cl2 0.375 0.994 0.700
Cl3 0.631 0.375 0.701
Cl4 0.994 0.625 0.704
Cl5 0.375 0.631 0.299
Cl6 0.631 0.994 0.299

=====

A plane-wave DFT calculation with PBE was carried out for crystalline KSmCoCl6 at its relaxed geometry.

## Properties
- final energy (eV per atom) = -4.283
- spin magnetization (μB/f.u.) = 3.00

Cell: 6.748 6.748 13.898 Å, 90.00 90.00 120.00°
Element x y z (fractional)
K1 0.000 0.000 0.000
K2 0.000 0.000 0.500
Sm1 0.333 0.667 0.250
Sm2 0.667 0.333 0.750
Co1 0.667 0.333 0.250
Co2 0.333 0.667 0.750
Cl1 0.644 0.616 0.145
Cl2 0.972 0.356 0.145
Cl3 0.356 0.972 0.645
Cl4 0.028 0.644 0.855
Cl5 0.384 0.356 0.355
Cl6 0.972 0.616 0.355
Cl7 0.616 0.972 0.855
Cl8 0.644 0.028 0.355
Cl9 0.028 0.384 0.645
Cl10 0.384 0.028 0.145
Cl11 0.616 0.644 0.645
Cl12 0.356 0.384 0.855

=====

A plane-wave DFT calculation with PBE was carried out for crystalline KSr2CoCl8 at its relaxed geometry.

## Properties
- final energy (eV per atom) = -3.846
- spin magnetization (μB/f.u.) = 0.15

Cell: 6.305 6.290 8.808 Å, 89.88 89.97 89.86°
Element x y z (fractional)
K1 0.000 0.000 0.500
Sr1 0.499 0.499 0.761
Sr2 0.501 0.501 0.239
Co1 0.000 0.000 0.000
Cl1 0.140 0.789 0.186
Cl2 0.700 0.787 0.999
Cl3 0.858 0.209 0.185
Cl4 0.860 0.211 0.814
Cl5 0.300 0.213 0.001
Cl6 0.142 0.791 0.815
Cl7 0.617 0.738 0.500
Cl8 0.383 0.262 0.500